A geometry-optimized ZrInW2 structure. Source: Alexandria via LeMat-Bulk, functional PBE-GGA.

For the total magnetic moment, the calculation gives 0.00 μB/cell. The calculation puts the formation energy at 0.2983 eV per atom. The calculation puts the volume at 148.4 Å³/cell. For the final energy, the calculation gives -9.00 eV per atom.

It has space group I-4m2 (No. 119), with a = 4.508 Å, b = 4.508 Å, c = 7.305 Å, α = 90.00°, β = 90.00° and γ = 90.00°. The distinct sites, in fractional coordinates, are Zr at (0.000, 0.000, 0.000), In at (0.000, 0.500, 0.750), W at (0.000, 0.000, 0.500) and W at (0.000, 0.500, 0.250).